Here is HPb2F5 after structural relaxation from Alexandria via LeMat-Bulk. Energies are from PBE.

```
data_HPb2F5
_symmetry_space_group_name_H-M 'P 1'
_symmetry_Int_Tables_number 1
_symmetry_space_group_name_Hall 'P 1'
_cell_length_a 5.0515
_cell_length_b 5.8228
_cell_length_c 5.8391
_cell_angle_alpha 61.39
_cell_angle_beta 64.45
_cell_angle_gamma 64.75
loop_
_atom_site_label
_atom_site_fract_x
_atom_site_fract_y
_atom_site_fract_z
H1 0.0000 0.0000 0.0000
Pb1 0.2552 0.3178 0.1715
Pb2 0.7464 0.8284 0.6821
F1 0.2279 0.9851 0.0139
F2 0.2657 0.9098 0.5398
F3 0.7348 0.4602 0.0898
F4 0.7742 0.9839 0.0170
F5 0.9957 0.4683 0.5315
```

Results
Calculated volume (Å³/cell): 130.69
E above lowest polymorph (eV per atom): 0.068
Total magnetization (μB per formula unit): 0.00
Total energy (eV for the cell shown): -37.0